Entry 1:
The following is a DFT calculation (PBE-GGA) of an optimized crystal structure of Sr2CrPb.

Cell: 6.851 6.851 6.851 Å, 145.64 131.66 60.64°
Each line ends with the local moment (μB).
Positions (direct):
Sr  0.978  0.978  0.000  0.01
Sr  0.271  0.771  0.500  0.01
Cr  0.537  0.537  0.000  3.90
Pb  0.714  0.214  0.500  -0.02

Computed properties:
Energy of formation, eV/atom: 0.13

Entry 2:
The following is a DFT calculation (PBE-GGA) of an optimized crystal structure of Tm3NpO7.

Cell: 6.497 6.497 7.582 Å, 90.00 90.00 109.79°
Each line ends with the local moment (μB).
Positions (direct):
O  0.661  0.912  0.530  -0.04
O  0.365  0.635  0.250  0.00
O  0.088  0.339  0.970  -0.04
O  0.339  0.088  0.470  -0.04
O  0.367  0.633  0.750  -0.01
O  0.633  0.367  0.250  -0.01
O  0.912  0.661  0.030  -0.04
O  0.339  0.088  0.030  -0.04
O  0.661  0.912  0.970  -0.04
O  0.100  0.900  0.750  -0.04
O  0.912  0.661  0.470  -0.04
O  0.088  0.339  0.530  -0.04
O  0.900  0.100  0.250  -0.04
O  0.635  0.365  0.750  0.00
Tm  0.006  0.532  0.750  0.00
Tm  0.468  0.994  0.750  0.00
Tm  0.500  0.500  0.500  0.00
Tm  0.532  0.006  0.250  0.00
Tm  0.500  0.500  0.000  0.00
Tm  0.994  0.468  0.250  0.00
Np  0.000  0.000  0.500  2.18
Np  0.000  0.000  0.000  2.18

Computed properties:
ΔE_f (raw), eV per atom: -3.41

| no. | ρ (Mg/m³) | total DFT energy (no corrections) (eV/atom) |
| --- | --- | --- |
| 1 | 5.4 | -4.04 |
| 2 | 9.4 | -8.96 |